[1]
Density functional theory data (PBE-GGA) for a relaxed structure of ZrBe2N.

```
data_ZrBe2N
_chemical_formula_sum 'Zr4 Be8 N4'
_space_group_name_H-M_alt 'I -4 2 d'
_space_group_IT_number 122
_space_group_name_Hall 'I -4 2bw'
_cell_length_a 5.330
_cell_length_b 5.330
_cell_length_c 7.191
_cell_angle_alpha 90.00
_cell_angle_beta 90.00
_cell_angle_gamma 90.00
loop_
_atom_site_label
_atom_site_type_symbol
_atom_site_fract_x
_atom_site_fract_y
_atom_site_fract_z
Zr1 Zr 0.000 0.000 0.000
Be1 Be 0.062 0.250 0.625
N1 N 0.000 0.000 0.500
```

The density is 4.01 g/cm3. As for the formation energy without anion corrections: 5.6 kJ per mole of atoms. The total magnetic moment is 4.2 μB per cell.


[2]
Density functional theory data (PBE-GGA) for a relaxed structure of CoNi4.

```
data_CoNi4
_chemical_formula_sum 'Co2 Ni8'
_space_group_name_H-M_alt 'I 4/m'
_space_group_IT_number 87
_space_group_name_Hall '-I 4'
_cell_length_a 5.553
_cell_length_b 5.553
_cell_length_c 3.525
_cell_angle_alpha 90.00
_cell_angle_beta 90.00
_cell_angle_gamma 90.00
loop_
_atom_site_label
_atom_site_type_symbol
_atom_site_fract_x
_atom_site_fract_y
_atom_site_fract_z
Co1 Co 0.000 0.000 0.000
Ni1 Ni 0.101 0.299 0.500
```

The density is 8.98 g/cm3. The formation energy comes out at 0.001 eV per atom. The distance to the lowest polymorph of the same formula is 3 meV/atom. The total magnetic moment is 8.3 μB per cell.


[3]
Density functional theory data (PBE-GGA) for a relaxed structure of TiHgPbS2.

```
data_TiHgPbS2
_chemical_formula_sum 'Ti1 Hg1 Pb1 S2'
_space_group_name_H-M_alt 'P 4/m m m'
_space_group_IT_number 123
_space_group_name_Hall '-P 4 2'
_cell_length_a 4.731
_cell_length_b 4.731
_cell_length_c 5.406
_cell_angle_alpha 90.00
_cell_angle_beta 90.00
_cell_angle_gamma 90.00
loop_
_atom_site_label
_atom_site_type_symbol
_atom_site_fract_x
_atom_site_fract_y
_atom_site_fract_z
Ti1 Ti 0.000 0.000 0.000
Hg1 Hg 0.000 0.000 0.500
Pb1 Pb 0.500 0.500 0.500
S1 S 0.000 0.500 0.000
```

The density is 7.13 g/cm3. As for the formation energy without anion corrections: -34.5 kJ per mole of atoms. The total magnetic moment is 0.0 μB per cell.


Question: What is the formula in the third record?
Answer: TiHgPbS2